Compound: Mg2IrBr
Source: the Alexandria database
Functional: PBE
Structure: optimized geometry

Cell: 7.896 7.896 7.896 Å, 155.44 155.08 35.27°
Positions (direct):
1 Mg 0.000 0.000 0.000
2 Mg 0.704 0.204 0.500
3 Ir 0.571 0.571 0.000
4 Br 0.313 0.813 0.500

- crystal system = orthorhombic
- total energy (eV per atom) = -3.78
- ΔE to the lowest computed polymorph (meV/atom) = 193
- formation energy (no corrections) (eV per atom) = -0.3443

=====

Compound: Pm12Sm7Tm
Source: the Alexandria database
Functional: PBE
Structure: optimized geometry

Cell: 11.116 11.116 11.116 Å, 115.88 115.88 115.88°
Positions (direct):
1 Pm 0.002 0.788 0.575
2 Pm 0.212 0.425 0.998
3 Pm 0.229 0.752 0.296
4 Pm 0.248 0.704 0.771
5 Pm 0.296 0.229 0.752
6 Pm 0.425 0.998 0.212
7 Pm 0.575 0.002 0.788
8 Pm 0.704 0.771 0.248
9 Pm 0.752 0.296 0.229
10 Pm 0.771 0.248 0.704
11 Pm 0.788 0.575 0.002
12 Pm 0.998 0.212 0.425
13 Sm 0.000 0.000 0.000
14 Sm 0.124 0.428 0.286
15 Sm 0.286 0.124 0.428
16 Sm 0.428 0.286 0.124
17 Sm 0.572 0.714 0.876
18 Sm 0.714 0.876 0.572
19 Sm 0.876 0.572 0.714
20 Tm 0.500 0.500 0.500

- crystal system = trigonal
- total energy (eV per atom) = -4.45
- ΔE to the lowest computed polymorph (meV/atom) = 54
- formation energy (eV per atom) = 0.280

=====

Compound: Mg5Al
Source: the Alexandria database
Functional: PBE
Structure: optimized geometry

Cell: 7.984 7.984 3.453 Å, 90.00 90.00 143.50°
Positions (direct):
1 Mg 0.000 0.000 0.000
2 Mg 0.172 0.828 0.500
3 Mg 0.344 0.656 0.000
4 Mg 0.656 0.344 0.000
5 Mg 0.828 0.172 0.500
6 Al 0.500 0.500 0.500

- crystal system = orthorhombic
- total energy (eV per atom) = -1.91
- formation energy (eV per atom) = 0.044

=====

Compound: TbFeBi
Source: the Alexandria database
Functional: PBE
Structure: optimized geometry

Cell: 13.632 13.632 13.632 Å, 15.59 15.59 15.59°
Positions (direct):
1 Tb 0.051 0.051 0.051
2 Tb 0.949 0.949 0.949
3 Fe 0.337 0.337 0.337
4 Fe 0.663 0.663 0.663
5 Bi 0.215 0.215 0.215
6 Bi 0.785 0.785 0.785

- crystal system = trigonal
- total energy (eV per atom) = -5.80
- formation energy (eV per atom) = -0.139

=====

The highest total energy belongs to which entry?
Mg5Al